Entry 1:
Ce2CuP4Ir3 | PBE | optimized geometry

Summary:
The calculation puts the energy relative to the elements at -0.96 eV per atom. As for the density: 10.423 g cm⁻³.

abc: 4.211 4.211 9.384
angles: 90.00 90.00 90.00
Space group P-4m2 (No. 115)
Symmetry-distinct sites (fractional):
Ce 0.000 0.500 0.247
Cu 0.000 0.000 0.500
P 0.000 0.000 0.000
P 0.000 0.500 0.633
P 0.500 0.500 0.000
Ir 0.000 0.500 0.887
Ir 0.500 0.500 0.500

---

Entry 2:
SrY2Ho | PBE | optimized geometry

Summary:
The calculation puts the energy relative to the elements at 0.13 eV per atom. As for the excess energy over the best structure of this formula in the dataset: 4.3 meV/atom. As for the density: 5.022 g cm⁻³.

abc: 3.6783 3.6783 36.4339
angles: 90.00 90.00 120.00
Space group R3m (No. 160, hexagonal axes)
Symmetry-distinct sites (fractional):
Sr 0.0000 0.0000 0.0000
Y 0.0000 0.0000 0.5762
Y 0.0000 0.0000 0.7559
Ho 0.0000 0.0000 0.1658

---

Entry 3:
InOs2Se | PBE | optimized geometry

Summary:
As for the excess energy over the best structure of this formula in the dataset: 57.0 meV/atom. For the uncorrected formation energy, the calculation gives 1.5 eV per formula unit. As for the density: 13.108 g cm⁻³.

abc: 2.904 2.904 8.626
angles: 90.00 90.00 90.00
Space group P4mm (No. 99)
Symmetry-distinct sites (fractional):
In 0.000 0.000 0.000
Os 0.000 0.000 0.443
Os 0.500 0.500 0.248
Se 0.500 0.500 0.646

---

Entry 4:
MgHAu2 | PBE | optimized geometry

Summary:
As for the excess energy over the best structure of this formula in the dataset: 335.5 meV/atom. As for the density: 11.125 g cm⁻³.

abc: 2.9361 2.9361 25.1462
angles: 90.00 90.00 120.00
Space group R-3m (No. 166, hexagonal axes)
Symmetry-distinct sites (fractional):
Mg 0.0000 0.0000 0.0000
H 0.0000 0.0000 0.5000
Au 0.0000 0.0000 0.1090

---

Entry 5:
BiPN3 | PBE | optimized geometry

Summary:
For the uncorrected formation energy, the calculation gives 4.0 eV per formula unit. As for the density: 9.440 g cm⁻³.

abc: 3.674 3.674 3.674
angles: 90.00 90.00 90.00
Space group Pm-3m (No. 221)
Symmetry-distinct sites (fractional):
Bi 0.000 0.000 0.000
P 0.500 0.500 0.500
N 0.000 0.500 0.500

---

Entry 6:
Er4BiTe3 | PBE | optimized geometry

Summary:
For the uncorrected formation energy, the calculation gives -9.0 eV per formula unit. As for the density: 8.994 g cm⁻³.

abc: 7.540 8.640 7.559
angles: 90.00 109.00 90.00
Space group P2/c (No. 13)
Symmetry-distinct sites (fractional):
Er 0.247 0.124 0.499
Er 0.248 0.375 0.000
Bi 0.500 0.374 0.750
Te 0.000 0.125 0.750
Te 0.000 0.375 0.250
Te 0.500 0.124 0.250

---

Entry 7:
Na2Ga6Au3 | PBE | optimized geometry

Summary:
The calculation puts the energy relative to the elements at -0.27 eV per atom. As for the density: 7.659 g cm⁻³.

abc: 7.7862 7.7862 4.3573
angles: 90.00 90.00 120.00
Space group P-62m (No. 189)
Symmetry-distinct sites (fractional):
Na 0.3333 0.6667 0.0000
Ga 0.0000 0.2932 0.5000
Ga 0.0000 0.8040 0.0000
Au 0.0000 0.6187 0.5000

---

Entry 8:
Hf2NbBi | PBE | optimized geometry

Summary:
The calculation puts the energy relative to the elements at -0.12 eV per atom. As for the density: 12.572 g cm⁻³.

abc: 3.677 3.677 6.437
angles: 90.00 90.00 90.00
Space group P4/mmm (No. 123)
Symmetry-distinct sites (fractional):
Hf 0.000 0.000 0.234
Nb 0.500 0.500 0.000
Bi 0.500 0.500 0.500

---

Entry 9:
K2NaPuO5 | PBE | optimized geometry

Summary:
For the uncorrected formation energy, the calculation gives -18.6 eV per formula unit. As for the density: 4.374 g cm⁻³.

abc: 4.276 5.984 12.618
angles: 90.00 90.00 90.00
Space group Immm (No. 71)
Symmetry-distinct sites (fractional):
K 0.000 0.000 0.221
Na 0.000 0.500 0.000
Pu 0.000 0.500 0.500
O 0.000 0.000 0.000
O 0.000 0.271 0.390

---

Entry 10:
Ta2GeIrO | PBE | optimized geometry

Summary:
For the uncorrected formation energy, the calculation gives -1.3 eV per formula unit. As for the density: 14.241 g cm⁻³.

abc: 4.147 4.147 4.357
angles: 90.00 90.00 90.00
Space group P4/mmm (No. 123)
Symmetry-distinct sites (fractional):
Ta 0.000 0.500 0.000
Ge 0.000 0.000 0.500
Ir 0.500 0.500 0.500
O 0.500 0.500 0.000

---

Entry 11:
NpIO6F | PBE | optimized geometry

Summary:
For the uncorrected formation energy, the calculation gives -9.4 eV per formula unit. As for the density: 5.138 g cm⁻³.

abc: 5.6459 5.6459 11.2143
angles: 90.00 90.00 120.00
Space group P-31c (No. 163)
Symmetry-distinct sites (fractional):
Np 0.3333 0.6667 0.2500
I 0.3333 0.6667 0.7500
O 0.0054 0.3813 0.1542
F 0.0000 0.0000 0.0000

---

Entry 12:
TbPr2Nd3Y6 | PBE | optimized geometry

Summary:
The calculation puts the energy relative to the elements at 0.01 eV per atom. As for the density: 5.824 g cm⁻³.

abc: 6.286 10.885 11.909
angles: 90.00 100.09 90.00
Space group C2/m (No. 12)
Symmetry-distinct sites (fractional):
Tb 0.000 0.000 0.000
Pr 0.000 0.334 0.000
Nd 0.000 0.167 0.500
Nd 0.000 0.500 0.500
Y 0.249 0.166 0.250
Y 0.250 0.000 0.750

---

Entry 13:
AcPr6Sm2Tm | PBE | optimized geometry

Summary:
The calculation puts the energy relative to the elements at 0.11 eV per atom. As for the density: 7.045 g cm⁻³.

abc: 9.443 15.717 9.850
angles: 90.00 96.03 90.00
Space group C2/c (No. 15)
Symmetry-distinct sites (fractional):
Ac 0.000 0.024 0.250
Pr 0.059 0.187 0.947
Pr 0.103 0.393 0.117
Pr 0.215 0.224 0.311
Sm 0.241 0.444 0.454
Tm 0.000 0.413 0.750

---

Entry 14:
VRe | PBE | optimized geometry

Summary:
The calculation puts the energy relative to the elements at 1.96 eV per atom. As for the density: 9.393 g cm⁻³.

abc: 5.514 5.514 5.514
angles: 90.00 90.00 90.00
Space group F-43m (No. 216)
Symmetry-distinct sites (fractional):
V 0.000 0.000 0.000
Re 0.250 0.250 0.750

---

Entry 15:
TiV6Fe2 | PBE | optimized geometry

Summary:
The calculation puts the energy relative to the elements at 0.07 eV per atom. As for the excess energy over the best structure of this formula in the dataset: 217.8 meV/atom. As for the density: 6.201 g cm⁻³.

abc: 3.991 3.991 7.822
angles: 90.00 90.00 90.00
Space group P4/mmm (No. 123)
Symmetry-distinct sites (fractional):
Ti 0.000 0.000 0.000
V 0.000 0.000 0.500
V 0.000 0.500 0.289
V 0.500 0.500 0.500
Fe 0.500 0.500 0.137

---

Entry 16:
Cr2PtRh | PBE | optimized geometry

Summary:
The calculation puts the energy relative to the elements at 0.04 eV per atom. As for the density: 12.344 g cm⁻³.

abc: 2.6799 2.6799 26.0818
angles: 90.00 90.00 120.00
Space group R3m (No. 160, hexagonal axes)
Symmetry-distinct sites (fractional):
Cr 0.0000 0.0000 0.0000
Cr 0.0000 0.0000 0.2523
Pt 0.0000 0.0000 0.5036
Rh 0.0000 0.0000 0.7426

---

Entry 17:
K2FeCuTc | PBE | optimized geometry

Summary:
The calculation puts the energy relative to the elements at 1.64 eV per atom. As for the density: 2.981 g cm⁻³.

abc: 5.965 5.965 4.627
angles: 90.00 90.00 90.00
Space group P4/mmm (No. 123)
Symmetry-distinct sites (fractional):
K 0.000 0.500 0.000
Fe 0.000 0.000 0.500
Cu 0.000 0.000 0.000
Tc 0.500 0.500 0.500

---

Entry 18:
ThAg2Pd5 | PBE | optimized geometry

Summary:
The calculation puts the energy relative to the elements at -0.53 eV per atom. As for the density: 11.502 g cm⁻³.

abc: 4.232 4.232 15.797
angles: 90.00 90.00 90.00
Space group I4/mmm (No. 139)
Symmetry-distinct sites (fractional):
Th 0.000 0.000 0.000
Ag 0.000 0.000 0.252
Pd 0.000 0.000 0.500
Pd 0.000 0.500 0.127

---

Entry 19:
CdTe2Ir | PBE | optimized geometry

Summary:
For the uncorrected formation energy, the calculation gives 2.1 eV per formula unit. As for the density: 10.499 g cm⁻³.

abc: 4.445 4.445 8.964
angles: 90.00 90.00 90.00
Space group I-4m2 (No. 119)
Symmetry-distinct sites (fractional):
Cd 0.000 0.000 0.000
Te 0.000 0.000 0.500
Te 0.000 0.500 0.250
Ir 0.000 0.500 0.750

---

Entry 20:
Rh3W | PBE | optimized geometry

Summary:
The calculation puts the energy relative to the elements at -0.18 eV per atom. As for the density: 14.060 g cm⁻³.

abc: 2.774 4.379 4.789
angles: 90.00 90.00 90.00
Space group Pmm2 (No. 25)
Symmetry-distinct sites (fractional):
Rh 0.000 0.000 0.000
Rh 0.000 0.500 0.335
Rh 0.500 0.000 0.498
W 0.500 0.500 0.823

---

Entry 21:
NaY6In5 | PBE | optimized geometry

Summary:
The calculation puts the energy relative to the elements at -0.40 eV per atom. As for the density: 5.779 g cm⁻³.

abc: 5.359 7.491 16.182
angles: 90.00 90.00 90.00
Space group Immm (No. 71)
Symmetry-distinct sites (fractional):
Na 0.000 0.000 0.000
Y 0.000 0.242 0.500
Y 0.000 0.253 0.170
In 0.000 0.000 0.334
In 0.000 0.500 0.000
In 0.000 0.500 0.344

---

Entry 22:
BaAg3 | PBE | optimized geometry

Summary:
The calculation puts the energy relative to the elements at -0.02 eV per atom. As for the excess energy over the best structure of this formula in the dataset: 169.4 meV/atom. As for the density: 6.822 g cm⁻³.

abc: 3.984 4.143 6.797
angles: 90.00 90.00 90.00
Space group Pmm2 (No. 25)
Symmetry-distinct sites (fractional):
Ba 0.000 0.000 0.000
Ag 0.000 0.500 0.425
Ag 0.500 0.000 0.436
Ag 0.500 0.500 0.730

---

Entry 23:
ZnSiP2 | PBE | optimized geometry

Summary:
As for the excess energy over the best structure of this formula in the dataset: 452.1 meV/atom. For the uncorrected formation energy, the calculation gives 0.6 eV per formula unit. As for the density: 4.102 g cm⁻³.

abc: 2.554 3.513 7.059
angles: 90.00 96.66 90.00
Space group P2/m (No. 10)
Symmetry-distinct sites (fractional):
Zn 0.000 0.000 0.000
Si 0.000 0.000 0.500
P 0.086 0.500 0.742

---

Entry 24:
PmPuCdIr | PBE | optimized geometry

Summary:
The calculation puts the energy relative to the elements at -0.26 eV per atom. As for the density: 12.182 g cm⁻³.

abc: 7.232 7.232 7.232
angles: 90.00 90.00 90.00
Space group F-43m (No. 216)
Symmetry-distinct sites (fractional):
Pm 0.000 0.000 0.000
Pu 0.000 0.000 0.500
Cd 0.250 0.250 0.750
Ir 0.250 0.250 0.250

---

Entry 25:
PaAlSe4 | PBE | optimized geometry

Summary:
As for the excess energy over the best structure of this formula in the dataset: 0.0 meV/atom. For the uncorrected formation energy, the calculation gives -6.2 eV per formula unit. As for the density: 5.628 g cm⁻³.

abc: 9.012 9.012 8.340
angles: 90.00 90.00 90.00
Space group I4_1/amd (No. 141, origin choice 2)
Symmetry-distinct sites (fractional):
Pa 0.000 0.250 0.375
Al 0.000 0.250 0.875
Se 0.000 0.065 0.671